1.
First-principles (PBE) data for crystalline ZrScTcAg at its relaxed geometry, as listed in the Alexandria database.

Calculated values
DFT total energy in eV per atom: -7.24

Lattice parameters (Å, degrees): 4.727 4.727 4.727 60.00 60.00 60.00
Positions (direct):
Tc (0.750, 0.750, 0.750)
Ag (0.250, 0.250, 0.250)
Zr (0.500, 0.500, 0.500)
Sc (0.000, 0.000, 0.000)

---

2.
First-principles (PBE) data for crystalline ScAg3Te4 at its relaxed geometry, as listed in the Alexandria database.

Calculated values
Formation energy without anion corrections in eV/atom: -0.290
DFT total energy in eV per atom: -3.72

Lattice parameters (Å, degrees): 8.035 8.769 7.041 90.00 90.00 90.00
Positions (direct):
Ag (0.002, 0.149, 0.500)
Ag (0.482, 0.351, 0.271)
Ag (0.482, 0.351, 0.729)
Ag (0.982, 0.649, 0.229)
Ag (0.502, 0.851, 0.000)
Ag (0.982, 0.649, 0.771)
Te (0.154, 0.864, 0.000)
Te (0.631, 0.146, 0.000)
Te (0.131, 0.854, 0.500)
Te (0.137, 0.363, 0.248)
Te (0.654, 0.136, 0.500)
Te (0.637, 0.637, 0.748)
Te (0.637, 0.637, 0.252)
Te (0.137, 0.363, 0.752)
Sc (0.989, 0.154, 0.000)
Sc (0.489, 0.846, 0.500)

---

3.
First-principles (PBE) data for crystalline Sc4AgTe at its relaxed geometry, as listed in the Alexandria database.

Calculated values
Formation energy without anion corrections in eV/atom: 0.147
DFT total energy in eV per atom: -5.07

Lattice parameters (Å, degrees): 5.864 5.864 5.864 60.00 60.00 60.00
Positions (direct):
Sc (0.375, 0.375, 0.875)
Sc (0.375, 0.875, 0.375)
Sc (0.875, 0.375, 0.375)
Sc (0.375, 0.375, 0.375)
Ag (0.000, 0.000, 0.000)
Te (0.750, 0.750, 0.750)

---

4.
First-principles (PBE) data for crystalline ScAg2Te at its relaxed geometry, as listed in the Alexandria database.

Calculated values
Formation energy without anion corrections in eV/atom: -0.274
DFT total energy in eV per atom: -4.07

Lattice parameters (Å, degrees): 5.846 5.846 5.846 138.92 138.92 59.50
Positions (direct):
Ag (0.000, 0.000, 0.000)
Ag (0.500, 0.500, 0.000)
Te (0.750, 0.250, 0.500)
Sc (0.250, 0.750, 0.500)

---

5.
First-principles (PBE) data for crystalline ScAg4Te at its relaxed geometry, as listed in the Alexandria database.

Calculated values
Formation energy without anion corrections in eV/atom: -0.055
DFT total energy in eV per atom: -3.53

Lattice parameters (Å, degrees): 5.606 5.606 5.606 60.00 60.00 60.00
Positions (direct):
Te (0.000, 0.000, 0.000)
Ag (0.874, 0.375, 0.375)
Ag (0.375, 0.375, 0.375)
Ag (0.375, 0.874, 0.375)
Ag (0.375, 0.375, 0.874)
Sc (0.750, 0.750, 0.750)

---

6.
First-principles (PBE) data for crystalline ScAg2Te at its relaxed geometry, as listed in the Alexandria database.

Calculated values
Formation energy without anion corrections in eV/atom: -0.344
DFT total energy in eV per atom: -4.14

Lattice parameters (Å, degrees): 4.125 4.132 4.967 90.00 90.00 90.00
Positions (direct):
Sc (0.500, 0.000, 0.500)
Ag (0.000, 0.000, 0.000)
Ag (0.500, 0.500, 0.000)
Te (0.000, 0.500, 0.500)

---

7.
First-principles (PBE) data for crystalline Sc2Ag4Te5 at its relaxed geometry, as listed in the Alexandria database.

Calculated values
Formation energy without anion corrections in eV/atom: -0.436
DFT total energy in eV per atom: -4.05

Lattice parameters (Å, degrees): 4.323 4.323 19.290 83.57 83.57 60.00
Positions (direct):
Ag (0.417, 0.417, 0.750)
Ag (0.318, 0.318, 0.047)
Ag (0.682, 0.682, 0.953)
Ag (0.583, 0.583, 0.250)
Te (0.500, 0.500, 0.500)
Te (0.224, 0.224, 0.327)
Te (0.631, 0.631, 0.108)
Te (0.776, 0.776, 0.673)
Te (0.369, 0.369, 0.892)
Sc (0.138, 0.138, 0.587)
Sc (0.862, 0.862, 0.413)

---

8.
First-principles (PBE) data for crystalline ScAg2Te2 at its relaxed geometry, as listed in the Alexandria database.

Calculated values
Formation energy without anion corrections in eV/atom: -0.266
DFT total energy in eV per atom: -3.93

Lattice parameters (Å, degrees): 7.812 7.812 4.108 90.00 90.00 90.00
Last column: magnetic moment on the atom in μB.
Positions (direct):
Te (0.324, 0.824, 0.000)  0.01
Te (0.676, 0.176, 0.000)  0.01
Te (0.824, 0.676, 0.000)  0.00
Te (0.176, 0.324, 0.000)  0.00
Ag (0.868, 0.368, 0.500)  0.01
Ag (0.632, 0.868, 0.500)  0.01
Ag (0.132, 0.632, 0.500)  0.01
Ag (0.368, 0.132, 0.500)  0.01
Sc (0.000, 0.000, 0.000)  0.34
Sc (0.500, 0.500, 0.000)  0.33

---

no.,size of the total moment (μB/atom)
1,0.000
2,0.000
3,0.002
4,0.000
5,0.001
6,0.000
7,0.000
8,0.138